[1]
An optimized crystal structure of Ba12MgAu5, computed with GGA-PBE.

Cell: 10.084 10.084 10.084 Å, 114.58 109.32 104.66°
Element x y z (fractional)
Ba: 0.044 0.228 0.816
Ba: 0.173 0.282 0.456
Ba: 0.173 0.718 0.891
Ba: 0.334 0.021 0.687
Ba: 0.334 0.647 0.313
Ba: 0.411 0.228 0.184
Ba: 0.589 0.772 0.816
Ba: 0.666 0.353 0.687
Ba: 0.666 0.979 0.313
Ba: 0.827 0.282 0.109
Ba: 0.827 0.718 0.544
Ba: 0.956 0.772 0.184
Mg: 0.500 0.500 0.000
Au: 0.000 0.000 0.000
Au: 0.123 0.623 0.500
Au: 0.338 0.000 0.338
Au: 0.662 0.000 0.662
Au: 0.877 0.377 0.500

Values from the calculation:
**Space group**: Immm
**Formation energy**: -409 meV/atom



[2]
An optimized crystal structure of YZrCo10, computed with GGA-PBE.

Cell: 3.959 4.839 8.399 Å, 90.00 90.00 90.00°
Element x y z (fractional)
Y: 0.000 0.000 0.000
Zr: 0.000 0.500 0.500
Co: 0.000 0.000 0.342
Co: 0.000 0.000 0.658
Co: 0.000 0.500 0.178
Co: 0.000 0.500 0.822
Co: 0.500 0.000 0.500
Co: 0.500 0.253 0.255
Co: 0.500 0.253 0.745
Co: 0.500 0.500 0.000
Co: 0.500 0.747 0.255
Co: 0.500 0.747 0.745

Values from the calculation:
**Space group**: Pmmm
**Formation energy**: -110 meV/atom



Q: What is the formation energy in the first record?
A: -409 meV/atom